w | Here is a PBEsol-optimized structure of Cd4Ag5 from Alexandria. Energies are from meta-GGA SCAN.

Lattice parameters (Å, degrees): 5.6600 8.1454 8.1454 120.00 90.00 90.00
Sites, in units of the cell vectors:
Ag (0.7500, 0.0000, 0.6914)
Ag (0.7500, 0.6914, 0.0000)
Ag (0.7500, 0.3086, 0.3086)
Ag (0.2500, 0.0000, 0.3086)
Ag (0.2500, 0.3086, 0.0000)
Ag (0.2500, 0.6914, 0.6914)
Ag (0.0000, 0.3333, 0.6667)
Ag (0.5000, 0.6667, 0.3333)
Ag (0.0000, 0.6667, 0.3333)
Ag (0.5000, 0.3333, 0.6667)
Cd (0.0000, 0.0000, 0.0000)
Cd (0.5000, 0.0000, 0.0000)
Cd (0.7500, 0.0000, 0.3613)
Cd (0.7500, 0.3613, 0.0000)
Cd (0.7500, 0.6387, 0.6387)
Cd (0.2500, 0.0000, 0.6387)
Cd (0.2500, 0.6387, 0.0000)
Cd (0.2500, 0.3613, 0.3613)

## Properties
The space group is P6_3/mcm (193). The calculation puts the calculated volume at 325 Å³/cell. The size of the total moment is 0.00 μB/atom.

x | Here is a PBEsol-optimized structure of Cd4Ag5 from Alexandria. Energies are from meta-GGA SCAN.

Lattice parameters (Å, degrees): 4.1578 6.5629 6.5629 84.24 71.53 71.53
Sites, in units of the cell vectors:
Ag (0.0000, 0.0000, 0.0000)
Ag (0.6654, 0.6692, 0.0000)
Ag (0.3346, 0.0000, 0.3308)
Ag (0.6654, 0.0000, 0.6692)
Ag (0.3346, 0.3308, 0.0000)
Cd (0.6757, 0.3243, 0.3243)
Cd (0.3243, 0.6757, 0.6757)
Cd (0.0000, 0.3243, 0.6757)
Cd (0.0000, 0.6757, 0.3243)

## Properties
The space group is I4/mmm (139). The calculation puts the calculated volume at 161 Å³/cell. The size of the total moment is 0.00 μB/atom.

x is the most stable structure; the next one sits 2.4 kJ/mol of atoms above it.

w | Here is a PBEsol-optimized structure of CdAg5 from Alexandria. Energies are from meta-GGA SCAN.

Lattice parameters (Å, degrees): 2.9242 5.5298 6.7983 105.41 90.00 105.33
Sites, in units of the cell vectors:
Ag (0.0005, 0.0010, 0.0042)
Ag (0.3885, 0.7770, 0.2777)
Ag (0.6682, 0.3365, 0.3379)
Ag (0.0532, 0.1064, 0.6057)
Ag (0.3358, 0.6716, 0.6671)
Cd (0.7204, 0.4408, 0.9409)

## Properties
The space group is Cm (8). The calculation puts the calculated volume at 102 Å³/cell. The size of the total moment is 0.00 μB/atom.

x | Here is a PBEsol-optimized structure of CdAg5 from Alexandria. Energies are from meta-GGA SCAN.

Lattice parameters (Å, degrees): 2.8969 2.8969 12.1613 90.00 90.00 90.00
Sites, in units of the cell vectors:
Ag (0.0000, 0.0000, 0.6725)
Ag (0.5000, 0.5000, 0.8367)
Ag (0.0000, 0.0000, 0.0000)
Ag (0.5000, 0.5000, 0.1633)
Ag (0.0000, 0.0000, 0.3275)
Cd (0.5000, 0.5000, 0.5000)

## Properties
The space group is P4/mmm (123). The calculation puts the calculated volume at 102 Å³/cell. The size of the total moment is 0.00 μB/atom.

y | Here is a PBEsol-optimized structure of CdAg5 from Alexandria. Energies are from meta-GGA SCAN.

Lattice parameters (Å, degrees): 4.7172 4.9869 4.9869 120.00 90.00 90.00
Sites, in units of the cell vectors:
Ag (0.0000, 0.6636, 0.0000)
Ag (0.0000, 0.0000, 0.6636)
Ag (0.0000, 0.3364, 0.3364)
Ag (0.5000, 0.3333, 0.6667)
Ag (0.5000, 0.6667, 0.3333)
Cd (0.5000, 0.0000, 0.0000)

## Properties
The space group is P-62m (189). The calculation puts the calculated volume at 102 Å³/cell. The size of the total moment is 0.00 μB/atom.

y is the most stable structure; the next one sits 0.9 kJ/mol of atoms above it.

w | Here is a PBEsol-optimized structure of CdAg5 from Alexandria. Energies are from meta-GGA SCAN.

Lattice parameters (Å, degrees): 4.1036 4.0192 6.5042 90.00 108.39 90.00
Sites, in units of the cell vectors:
Ag (0.6684, 0.5000, 0.3368)
Ag (0.8321, 0.0000, 0.6643)
Ag (0.0000, 0.5000, 0.0000)
Ag (0.1679, 0.0000, 0.3357)
Ag (0.3316, 0.5000, 0.6632)
Cd (0.5000, 0.0000, 0.0000)

## Properties
The space group is Cmmm (65). The calculation puts the calculated volume at 102 Å³/cell. The size of the total moment is 0.00 μB/atom.

x | Here is a PBEsol-optimized structure of CdAg5 from Alexandria. Energies are from meta-GGA SCAN.

Lattice parameters (Å, degrees): 2.9595 4.6875 7.4975 90.00 101.38 90.00
Sites, in units of the cell vectors:
Ag (0.9960, 0.0000, 0.9921)
Ag (0.3307, 0.0000, 0.6613)
Ag (0.6650, 0.0000, 0.3300)
Ag (0.4458, 0.5000, 0.8915)
Ag (0.7820, 0.5000, 0.5640)
Cd (0.1139, 0.5000, 0.2278)

## Properties
The space group is Amm2 (38). The calculation puts the calculated volume at 102 Å³/cell. The size of the total moment is 0.00 μB/atom.

w is the most stable structure; the next one sits 1.0 kJ/mol of atoms above it.

w | Here is a PBEsol-optimized structure of CdGa2Ag2 from Alexandria. Energies are from meta-GGA SCAN.

Lattice parameters (Å, degrees): 3.6919 3.6919 7.1816 104.89 104.89 90.00
Sites, in units of the cell vectors:
Ga (0.2500, 0.7500, 0.5000)
Ga (0.7500, 0.2500, 0.5000)
Ag (0.3982, 0.3982, 0.7963)
Ag (0.6018, 0.6018, 0.2037)
Cd (0.0000, 0.0000, 0.0000)

## Properties
The space group is I4/mmm (139). The calculation puts the calculated volume at 91 Å³/cell. The size of the total moment is 0.00 μB/atom.

x | Here is a PBEsol-optimized structure of CdGa2Ag2 from Alexandria. Energies are from meta-GGA SCAN.

Lattice parameters (Å, degrees): 2.8732 7.9161 7.9161 90.00 90.00 90.00
Sites, in units of the cell vectors:
Ga (0.5000, 0.1726, 0.6726)
Ga (0.5000, 0.6726, 0.8274)
Ga (0.5000, 0.8274, 0.3274)
Ga (0.5000, 0.3274, 0.1726)
Ag (0.0000, 0.3733, 0.8733)
Ag (0.0000, 0.8733, 0.6267)
Ag (0.0000, 0.6267, 0.1267)
Ag (0.0000, 0.1267, 0.3733)
Cd (0.0000, 0.0000, 0.0000)
Cd (0.0000, 0.5000, 0.5000)

## Properties
The space group is P4/mbm (127). The calculation puts the calculated volume at 180 Å³/cell. The size of the total moment is 0.00 μB/atom.

w is the most stable structure; the next one sits 3.5 kJ/mol of atoms above it.

w | Here is a PBEsol-optimized structure of CdAgHg from Alexandria. Energies are from meta-GGA SCAN.

Lattice parameters (Å, degrees): 3.0956 3.0956 6.4078 103.98 103.98 90.00
Sites, in units of the cell vectors:
Hg (0.3379, 0.3379, 0.6759)
Ag (0.0022, 0.0022, 0.0044)
Cd (0.6598, 0.6598, 0.3197)

## Properties
The space group is I4mm (107). The calculation puts the calculated volume at 58 Å³/cell. The size of the total moment is 0.00 μB/atom.

x | Here is a PBEsol-optimized structure of CdAgHg from Alexandria. Energies are from meta-GGA SCAN.

Lattice parameters (Å, degrees): 3.1820 4.0634 5.1521 113.23 107.99 90.00
Sites, in units of the cell vectors:
Hg (0.3350, 0.3350, 0.6699)
Ag (0.0027, 0.0027, 0.0053)
Cd (0.6624, 0.6624, 0.3248)

## Properties
The space group is Imm2 (44). The calculation puts the calculated volume at 58 Å³/cell. The size of the total moment is 0.00 μB/atom.

y | Here is a PBEsol-optimized structure of CdAgHg from Alexandria. Energies are from meta-GGA SCAN.

Lattice parameters (Å, degrees): 2.9274 4.7740 4.7740 120.00 90.00 90.00
Sites, in units of the cell vectors:
Hg (0.3021, 0.3333, 0.6667)
Ag (0.0474, 0.0000, 0.0000)
Cd (0.6506, 0.6667, 0.3333)

## Properties
The space group is P3m1 (156). The calculation puts the calculated volume at 58 Å³/cell. The size of the total moment is 0.00 μB/atom.

x is the most stable structure; the next one sits 1.6 kJ/mol of atoms above it.

w | Here is a PBEsol-optimized structure of KCdAg from Alexandria. Energies are from meta-GGA SCAN.

Lattice parameters (Å, degrees): 3.0298 4.4435 6.5326 109.88 103.41 90.00
Sites, in units of the cell vectors:
K (0.3339, 0.3339, 0.6678)
Ag (0.0472, 0.0472, 0.0944)
Cd (0.6189, 0.6189, 0.2378)

## Properties
The space group is Imm2 (44). The calculation puts the calculated volume at 80 Å³/cell. The size of the total moment is 0.00 μB/atom.

x | Here is a PBEsol-optimized structure of KCdAg from Alexandria. Energies are from meta-GGA SCAN.

Lattice parameters (Å, degrees): 5.0795 5.0795 5.0795 60.00 60.00 60.00
Sites, in units of the cell vectors:
Ag (0.5000, 0.5000, 0.5000)
Cd (0.2500, 0.2500, 0.2500)
K (0.0000, 0.0000, 0.0000)

## Properties
The space group is F-43m (216). The calculation puts the calculated volume at 93 Å³/cell. The size of the total moment is 0.00 μB/atom.

y | Here is a PBEsol-optimized structure of KCdAg from Alexandria. Energies are from meta-GGA SCAN.

Lattice parameters (Å, degrees): 5.3200 5.3200 5.3200 60.00 60.00 60.00
Sites, in units of the cell vectors:
Ag (0.0000, 0.0000, 0.0000)
Cd (0.5000, 0.5000, 0.5000)
K (0.2500, 0.2500, 0.2500)

## Properties
The space group is F-43m (216). The calculation puts the calculated volume at 106 Å³/cell. The size of the total moment is 0.00 μB/atom.

w is the most stable structure; the next one sits 19.5 kJ/mol of atoms above it.